[1]
Here is CdFeCuTe2 at its PBEsol-relaxed geometry from Alexandria via LeMat-Bulk. Energies are from meta-GGA SCAN.

Cell lengths 4.9895, 4.9895, 4.5283 Å; angles 90.00, 90.00, 90.00 degrees
Fractional coordinates of all 5 atoms:
Cd 0.0000 0.0000 0.0000
Fe 0.5000 0.5000 0.5000
Cu 0.5000 0.5000 0.0000
Te 0.0000 0.5000 0.5000
Te 0.5000 0.0000 0.5000

Computed properties:
Calculated volume = 22.547 Å³ per atom
Raw formation energy = 0.468 eV per atom
N(E_F) = 3.2 states/eV/f.u.
Total DFT energy (no corrections) = -135.91 eV/cell


[2]
Here is LiCdGaCu2 at its PBEsol-relaxed geometry from Alexandria via LeMat-Bulk. Energies are from meta-GGA SCAN.

Cell lengths 4.2312, 4.2312, 4.4871 Å; angles 90.00, 90.00, 90.00 degrees
Fractional coordinates of all 5 atoms:
Li 0.0000 0.0000 0.0000
Cd 0.0000 0.0000 0.5000
Ga 0.5000 0.5000 0.5000
Cu 0.0000 0.5000 0.0000
Cu 0.5000 0.0000 0.0000

Computed properties:
Calculated volume = 16.067 Å³ per atom
N(E_F) = 1.7 states/eV/f.u.
Total DFT energy (no corrections) = -76.40 eV/cell
Formation enthalpy at 0 K = 0.6289 eV per atom


[3]
Here is Mg2CdGaCu at its PBEsol-relaxed geometry from Alexandria via LeMat-Bulk. Energies are from meta-GGA SCAN.

Cell lengths 4.8338, 4.8338, 4.8504 Å; angles 90.00, 90.00, 90.00 degrees
Fractional coordinates of all 5 atoms:
Mg 0.0000 0.5000 0.0000
Mg 0.5000 0.0000 0.0000
Cd 0.0000 0.0000 0.5000
Ga 0.5000 0.5000 0.5000
Cu 0.0000 0.0000 0.0000

Computed properties:
Calculated volume = 22.667 Å³ per atom
N(E_F) = 2.0 states/eV/f.u.
Total DFT energy (no corrections) = -70.91 eV/cell
Formation enthalpy at 0 K = 0.1992 eV per atom


[4]
Here is Cd2GaCuTe4 at its PBEsol-relaxed geometry from Alexandria via LeMat-Bulk. Energies are from meta-GGA SCAN.

Cell lengths 7.6820, 7.6820, 7.6820 Å; angles 132.42, 132.42, 69.57 degrees
Fractional coordinates of all 8 atoms:
Cd 0.2500 0.7500 0.5000
Cd 0.7500 0.2500 0.5000
Ga 0.0000 0.0000 0.0000
Cu 0.5000 0.5000 0.0000
Te 0.1433 0.1433 0.5117
Te 0.3684 0.8567 0.0000
Te 0.6316 0.6316 0.4883
Te 0.8567 0.3684 0.0000

Computed properties:
Calculated volume = 30.293 Å³ per atom
Raw formation energy = -0.361 eV per atom
Total DFT energy (no corrections) = -244.27 eV/cell


[5]
Here is MnCd2CuGe at its PBEsol-relaxed geometry from Alexandria via LeMat-Bulk. Energies are from meta-GGA SCAN.

Cell lengths 4.8634, 4.8634, 4.4396 Å; angles 90.00, 90.00, 90.00 degrees
Fractional coordinates of all 5 atoms:
Mn 0.0000 0.0000 0.0000
Cd 0.0000 0.5000 0.5000
Cd 0.5000 0.0000 0.5000
Cu 0.5000 0.5000 0.5000
Ge 0.5000 0.5000 0.0000

Computed properties:
Calculated volume = 21.002 Å³ per atom
N(E_F) = 1.8 states/eV/f.u.
Total DFT energy (no corrections) = -111.24 eV/cell
Formation enthalpy at 0 K = 0.4255 eV per atom


[6]
Here is CdCuReGe2 at its PBEsol-relaxed geometry from Alexandria via LeMat-Bulk. Energies are from meta-GGA SCAN.

Cell lengths 4.6944, 4.6944, 5.2343 Å; angles 90.00, 90.00, 90.00 degrees
Fractional coordinates of all 5 atoms:
Cd 0.0000 0.0000 0.0000
Cu 0.5000 0.5000 0.0000
Re 0.0000 0.0000 0.5000
Ge 0.0000 0.5000 0.5000
Ge 0.5000 0.0000 0.5000

Computed properties:
Calculated volume = 23.070 Å³ per atom
N(E_F) = 3.3 states/eV/f.u.
Total DFT energy (no corrections) = -150.85 eV/cell
Formation enthalpy at 0 K = 0.8070 eV per atom


[7]
Here is CdCuSn2Ge at its PBEsol-relaxed geometry from Alexandria via LeMat-Bulk. Energies are from meta-GGA SCAN.

Cell lengths 5.3734, 5.3734, 4.6838 Å; angles 90.00, 90.00, 90.00 degrees
Fractional coordinates of all 5 atoms:
Cd 0.0000 0.0000 0.0000
Cu 0.0000 0.0000 0.5000
Sn 0.0000 0.5000 0.0000
Sn 0.5000 0.0000 0.0000
Ge 0.5000 0.5000 0.5000

Computed properties:
Calculated volume = 27.047 Å³ per atom
N(E_F) = 2.8 states/eV/f.u.
Total DFT energy (no corrections) = -131.95 eV/cell
Formation enthalpy at 0 K = 0.9178 eV per atom


[8]
Here is CdCuTcGe2 at its PBEsol-relaxed geometry from Alexandria via LeMat-Bulk. Energies are from meta-GGA SCAN.

Cell lengths 4.8681, 4.8681, 5.1162 Å; angles 90.00, 90.00, 90.00 degrees
Fractional coordinates of all 5 atoms:
Cd 0.0000 0.0000 0.0000
Cu 0.5000 0.5000 0.5000
Tc 0.0000 0.0000 0.5000
Ge 0.0000 0.5000 0.0000
Ge 0.5000 0.0000 0.0000

Computed properties:
Calculated volume = 24.249 Å³ per atom
N(E_F) = 2.7 states/eV/f.u.
Total DFT energy (no corrections) = -110.35 eV/cell
Formation enthalpy at 0 K = 1.6990 eV per atom


[9]
Here is CdCuH2 at its PBEsol-relaxed geometry from Alexandria via LeMat-Bulk. Energies are from meta-GGA SCAN.

Cell lengths 3.8346, 3.8346, 3.8346 Å; angles 60.00, 60.00, 60.00 degrees
Fractional coordinates of all 4 atoms:
Cd 0.0000 0.0000 0.0000
Cu 0.5000 0.5000 0.5000
H 0.2500 0.2500 0.2500
H 0.7500 0.7500 0.7500

Computed properties:
Calculated volume = 9.968 Å³ per atom
N(E_F) = 0.5 states/eV/f.u.
Total DFT energy (no corrections) = -49.48 eV/cell


[10]
Here is HfCdIn2Cu at its PBEsol-relaxed geometry from Alexandria via LeMat-Bulk. Energies are from meta-GGA SCAN.

Cell lengths 4.7866, 4.7866, 4.9589 Å; angles 90.00, 90.00, 90.00 degrees
Fractional coordinates of all 5 atoms:
Hf 0.0000 0.0000 0.0000
Cd 0.5000 0.5000 0.0000
In 0.0000 0.5000 0.5000
In 0.5000 0.0000 0.5000
Cu 0.0000 0.0000 0.5000

Computed properties:
Calculated volume = 22.724 Å³ per atom
N(E_F) = 2.5 states/eV/f.u.
Total DFT energy (no corrections) = -173.55 eV/cell
Formation enthalpy at 0 K = 0.3013 eV per atom
Distance to the lowest polymorph of the same formula = 0.000 eV/atom


[11]
Here is HfCdIn2Cu at its PBEsol-relaxed geometry from Alexandria via LeMat-Bulk. Energies are from meta-GGA SCAN.

Cell lengths 5.5562, 5.5562, 4.7653 Å; angles 90.00, 90.00, 90.00 degrees
Fractional coordinates of all 5 atoms:
Hf 0.0000 0.0000 0.0000
Cd 0.5000 0.5000 0.5000
In 0.0000 0.5000 0.0000
In 0.5000 0.0000 0.0000
Cu 0.0000 0.0000 0.5000

Computed properties:
Calculated volume = 29.422 Å³ per atom
N(E_F) = 4.0 states/eV/f.u.
Total DFT energy (no corrections) = -170.62 eV/cell
Formation enthalpy at 0 K = 0.8877 eV per atom
Distance to the lowest polymorph of the same formula = 0.586 eV/atom


[12]
Here is CdCuHg2 at its PBEsol-relaxed geometry from Alexandria via LeMat-Bulk. Energies are from meta-GGA SCAN.

Cell lengths 4.1146, 4.2404, 4.2635 Å; angles 90.00, 90.00, 90.00 degrees
Fractional coordinates of all 4 atoms:
Cd 0.0000 0.0000 0.0000
Cu 0.0000 0.5000 0.5000
Hg 0.5000 0.0000 0.5000
Hg 0.5000 0.5000 0.0000

Computed properties:
Calculated volume = 18.596 Å³ per atom
N(E_F) = 1.3 states/eV/f.u.
Total DFT energy (no corrections) = -181.21 eV/cell
Formation enthalpy at 0 K = 0.1830 eV per atom